First-principles (PBE-GGA) data for a relaxed structure of TiAl, as listed in Alexandria.

a = 7.1920 Å, b = 7.1920 Å, c = 7.1920 Å
α = 109.47°, β = 109.47°, γ = 109.47°
Closest atoms and distances in Å follow each position.
Sites, in units of the cell vectors:
Ti 0.0000 0.0000 0.2270  3 Ti 2.67, 4 Al 2.74-2.75
Ti 0.0000 0.2270 0.0000  3 Ti 2.67, 4 Al 2.74-2.75
Ti 0.2270 0.0000 0.0000  3 Ti 2.67, 4 Al 2.74-2.75
Ti 0.7730 0.7730 0.7730  3 Ti 2.67, 4 Al 2.74-2.75
Al 0.0000 0.0000 0.6100  4 Ti 2.74-2.75
Al 0.0000 0.6100 0.0000  4 Ti 2.74-2.75
Al 0.3900 0.3900 0.3900  4 Ti 2.74-2.75
Al 0.6100 0.0000 0.0000  4 Ti 2.74-2.75

Results
volume: 286.37 Å³/cell
total moment: 0.61 μB/f.u.
energy of formation from the pure elements: 1125 meV/atom
space-group type: No. 217